(1)
Here is an optimized crystal structure of Zn2Cu4Pt from Alexandria via LeMat-Bulk. Energies are from PBE-GGA.

a b c (Å): 4.807 4.999 5.003
angles (deg): 77.20 61.89 61.86
Sites, in units of the cell vectors:
Zn 0.246 0.004 0.004
Zn 0.754 0.996 0.996
Cu 0.304 0.500 0.894
Cu 0.305 0.892 0.500
Cu 0.695 0.108 0.500
Cu 0.696 0.500 0.106
Pt 0.000 0.500 0.500

energy of formation = 8.5 meV per atom
energy above the most stable polymorph in this dataset = 0.0800 eV per atom
symmetry = P-1, No. 2

(2)
Here is an optimized crystal structure of ZnCuPt4 from Alexandria via LeMat-Bulk. Energies are from PBE-GGA.

a b c (Å): 5.240 5.240 5.240
angles (deg): 60.00 60.00 60.00
Sites, in units of the cell vectors:
Zn 0.000 0.000 0.000
Cu 0.750 0.750 0.750
Pt 0.375 0.375 0.375
Pt 0.375 0.375 0.875
Pt 0.375 0.875 0.375
Pt 0.875 0.375 0.375

energy of formation = 87.3 meV per atom
energy above the most stable polymorph in this dataset = 0.3479 eV per atom
symmetry = F-43m, No. 216

(3)
Here is an optimized crystal structure of Zn9Cu4Pt11 from Alexandria via LeMat-Bulk. Energies are from PBE-GGA.

a b c (Å): 11.096 11.096 2.858
angles (deg): 90.00 90.00 99.27
Sites, in units of the cell vectors:
Zn 0.000 0.000 0.000
Zn 0.110 0.647 0.000
Zn 0.296 0.475 0.000
Zn 0.353 0.890 0.000
Zn 0.475 0.296 0.000
Zn 0.525 0.704 0.000
Zn 0.647 0.110 0.000
Zn 0.704 0.525 0.000
Zn 0.890 0.353 0.000
Cu 0.067 0.225 0.000
Cu 0.225 0.067 0.000
Cu 0.775 0.933 0.000
Cu 0.933 0.775 0.000
Pt 0.095 0.434 0.500
Pt 0.137 0.863 0.500
Pt 0.270 0.270 0.500
Pt 0.318 0.682 0.500
Pt 0.434 0.095 0.500
Pt 0.500 0.500 0.500
Pt 0.566 0.905 0.500
Pt 0.682 0.318 0.500
Pt 0.730 0.730 0.500
Pt 0.863 0.137 0.500
Pt 0.905 0.566 0.500

energy of formation = -433.3 meV per atom
symmetry = Cmmm, No. 65

(4)
Here is an optimized crystal structure of ZnCu4Pt from Alexandria via LeMat-Bulk. Energies are from PBE-GGA.

a b c (Å): 4.579 4.579 5.243
angles (deg): 107.68 107.68 48.59
Sites, in units of the cell vectors:
Zn 0.000 0.000 0.000
Cu 0.329 0.329 0.163
Cu 0.333 0.333 0.669
Cu 0.667 0.667 0.331
Cu 0.671 0.671 0.837
Pt 0.000 0.000 0.500

energy of formation = -166.0 meV per atom
energy above the most stable polymorph in this dataset = 0.0000 eV per atom
symmetry = C2/m, No. 12

(5)
Here is an optimized crystal structure of Zn8Cu5Pt from Alexandria via LeMat-Bulk. Energies are from PBE-GGA.

a b c (Å): 6.402 6.402 6.402
angles (deg): 109.31 109.31 109.80
Sites, in units of the cell vectors:
Zn 0.121 0.681 0.798
Zn 0.160 0.263 0.773
Zn 0.319 0.116 0.440
Zn 0.490 0.387 0.227
Zn 0.613 0.840 0.103
Zn 0.676 0.879 0.560
Zn 0.737 0.510 0.897
Zn 0.884 0.324 0.202
Cu 0.233 0.652 0.202
Cu 0.348 0.550 0.581
Cu 0.450 0.031 0.798
Cu 0.750 0.250 0.500
Cu 0.969 0.767 0.419
Pt 0.000 0.000 0.000

energy of formation = -19.1 meV per atom
symmetry = I-4, No. 82

(6)
Here is an optimized crystal structure of Zn2Cu2Pt7 from Alexandria via LeMat-Bulk. Energies are from PBE-GGA.

a b c (Å): 5.543 5.543 6.107
angles (deg): 90.00 90.00 98.09
Sites, in units of the cell vectors:
Zn 0.176 0.176 0.000
Zn 0.824 0.824 0.000
Cu 0.296 0.704 0.500
Cu 0.704 0.296 0.500
Pt 0.000 0.000 0.500
Pt 0.000 0.500 0.229
Pt 0.000 0.500 0.771
Pt 0.500 0.000 0.229
Pt 0.500 0.000 0.771
Pt 0.500 0.500 0.209
Pt 0.500 0.500 0.791

energy of formation = 192.8 meV per atom
symmetry = Cmmm, No. 65